Entry from Alexandria: crystalline BeCu2Hg at its relaxed geometry (PBE).

Cell: 4.7165 4.7165 4.7165 Å, 136.92 129.60 68.42°
With the nearest neighbours (Å) after each atom.
Fractional coordinates of all 4 atoms:
Be: 0.0000 0.0000 0.0000  2 Cu 2.36, 2 Hg 2.59
Cu: 0.2058 0.7058 0.5000  2 Be 2.36
Cu: 0.4817 0.4817 0.0000  4 Be 2.66, 4 Cu 2.66-2.76, 4 Hg 2.69-2.73
Hg: 0.7529 0.2529 0.5000  4 Be 2.59-2.82, 8 Cu 2.68-2.73

## Properties
Formation energy: 214.7 meV/atom
Space group: Imm2 (44)
Volume: 13.56 A^3/atom
Total magnetic moment: 0.00 μB per cell

=====

Entry from Alexandria: crystalline BeCuHg at its relaxed geometry (PBE).

Cell: 5.1001 5.1001 5.1001 Å, 145.70 145.70 49.29°
With the nearest neighbours (Å) after each atom.
Fractional coordinates of all 3 atoms:
Be: 0.0000 0.0000 0.0000  4 Cu 2.35
Cu: 0.6078 0.6078 0.0000  4 Be 2.35
Hg: 0.3098 0.3098 0.0000  5 Be 2.76-2.87, 5 Cu 2.76-2.83, 4 Hg 3.01

## Properties
Formation energy: 257.4 meV/atom
Space group: I4mm (107)
Volume: 13.98 A^3/atom
Total magnetic moment: 0.00 μB per cell

=====

Entry from Alexandria: crystalline BeCu2Hg at its relaxed geometry (PBE).

Cell: 3.7136 3.7136 3.9242 Å, 90.00 90.00 90.00°
With the nearest neighbours (Å) after each atom.
Fractional coordinates of all 4 atoms:
Be: 0.0000 0.0000 0.0000  4 Hg 2.63, 8 Cu 2.70
Cu: 0.0000 0.5000 0.5000  4 Cu 2.63, 4 Hg 2.70, 4 Be 2.70
Cu: 0.5000 0.0000 0.5000  4 Cu 2.63, 4 Hg 2.70, 4 Be 2.70
Hg: 0.5000 0.5000 0.0000  4 Be 2.63, 8 Cu 2.70

## Properties
Formation energy: 226.9 meV/atom
Space group: P4/mmm (123)
Volume: 13.53 A^3/atom
Total magnetic moment: 0.00 μB per cell

=====

What is the formation energy in the first record?
214.7 meV/atom

=====

What did the second record say?
Entry from Alexandria: crystalline BeCuHg at its relaxed geometry (PBE).

Cell: 5.1001 5.1001 5.1001 Å, 145.70 145.70 49.29°
With the nearest neighbours (Å) after each atom.
Fractional coordinates of all 3 atoms:
Be: 0.0000 0.0000 0.0000  4 Cu 2.35
Cu: 0.6078 0.6078 0.0000  4 Be 2.35
Hg: 0.3098 0.3098 0.0000  5 Be 2.76-2.87, 5 Cu 2.76-2.83, 4 Hg 3.01

## Properties
Formation energy: 257.4 meV/atom
Space group: I4mm (107)
Volume: 13.98 A^3/atom
Total magnetic moment: 0.00 μB per cell